1.
Computed, not measured: a relaxed AsOs3Rh crystal at the GGA-PBE level of DFT. Values from VASP.

```
&SYSTEM
  ibrav = 0, nat = 5, ntyp = 3
/
ATOMIC_SPECIES
Rh 102.91 Rh.upf
Os 190.23 Os.upf
As 74.92 As.upf
CELL_PARAMETERS angstrom
-0.810 -3.817 -2.572
2.822 -2.475 2.784
-3.636 -1.071 2.734
ATOMIC_POSITIONS crystal
Rh 0.000 0.000 0.000
Os 0.000 0.500 0.000
Os 0.000 0.000 0.500
Os 0.500 0.000 0.000
As 0.500 0.500 0.500
```

Calculated values
Magnetic moment, μB/f.u.: 0.00
ΔE_f, eV/atom: 2.48
Space group: Pm-3m (221)


2.
Computed, not measured: a relaxed As2OsRh crystal at the GGA-PBE level of DFT. Values from VASP.

```
&SYSTEM
  ibrav = 0, nat = 4, ntyp = 3
/
ATOMIC_SPECIES
As 74.92 As.upf
Os 190.23 Os.upf
Rh 102.91 Rh.upf
CELL_PARAMETERS angstrom
-2.026 0.003 2.159
-0.346 -1.765 -2.352
4.189 -6.067 3.938
ATOMIC_POSITIONS crystal
As 0.000 0.000 0.499
As 0.000 0.000 0.001
Os 0.500 0.500 0.250
Rh 0.500 0.500 0.750
```

Calculated values
Magnetic moment, μB/f.u.: 0.00
ΔE_f, eV/atom: 0.41
Space group: Cmmm (65)